Na2PS5 | GGA-PBE | relaxed

Summary:
**Distance to the lowest polymorph of the same formula**: 239.3 meV/atom
**Raw formation energy**: -0.24 eV/atom

Lattice parameters (Å, degrees): 5.789 5.789 7.067 114.18 114.18 90.00
Sites, in units of the cell vectors:
Na1 0.217 0.717 0.433
Na2 0.717 0.217 0.433
P1 0.962 0.962 0.925
S1 0.775 0.273 0.048
S2 0.273 0.273 0.048
S3 0.775 0.775 0.048
S4 0.273 0.775 0.048
S5 0.785 0.785 0.570

---

NaPS3 | GGA-PBE | relaxed

Summary:
**Distance to the lowest polymorph of the same formula**: 1942.0 meV/atom
**Raw formation energy**: 1.37 eV/atom

Lattice parameters (Å, degrees): 4.964 4.964 4.964 90.00 90.00 90.00
Sites, in units of the cell vectors:
Na1 0.000 0.000 0.000
P1 0.500 0.500 0.500
S1 0.000 0.500 0.000
S2 0.000 0.000 0.500
S3 0.500 0.000 0.000

---

NaPS3 | GGA-PBE | relaxed

Summary:
**Distance to the lowest polymorph of the same formula**: 575.4 meV/atom
**Raw formation energy**: 0.00 eV/atom

Lattice parameters (Å, degrees): 4.608 4.608 4.608 90.00 90.00 90.00
Sites, in units of the cell vectors:
P1 0.000 0.000 0.000
S1 0.000 0.500 0.000
S2 0.000 0.000 0.500
S3 0.500 0.000 0.000
Na1 0.500 0.500 0.500